Entry 1:
A relaxed LaTiSeO crystal, computed with PBE.

```
12
Lattice="-0.856 0.319 -3.810 2.953 -2.300 1.159 -11.898 -14.541 1.455" Properties=species:S:1:pos:R:3 pbc="T T T"
La -3.545 -4.332 0.433
O -1.395 -5.189 -0.121
Ti -5.817 -7.109 0.711
O -10.596 -14.010 -0.808
La -7.097 -9.733 -1.235
Se -7.223 -12.312 0.591
Ti -0.168 -3.689 -0.271
Se -4.526 -6.592 -1.550
O -7.044 -8.609 0.861
Se -0.974 -1.191 0.119
La -9.793 -15.453 0.906
Ti -9.369 -12.510 -0.958
```

Energy above the most stable polymorph in this dataset   36 meV per atom
Formation energy (no corrections)   -1955.9 meV per atom
M_tot   3.0 μB/cell


Entry 2:
A relaxed Li2InOs crystal, computed with PBE.

```
8
Lattice="-5.009 -4.738 -1.482 1.495 0.567 -6.868 0.021 -4.035 -3.949" Properties=species:S:1:pos:R:3 pbc="T T T"
In -0.120 -2.776 -7.496
In -1.757 -2.085 -4.175
Li -1.318 -4.596 -6.017
Li 0.369 -1.194 -5.449
Os 0.000 0.000 0.000
Li -2.994 -3.951 -2.788
Os -3.372 -5.429 -4.803
Li -3.042 -6.669 -10.344
```

M_tot   1.1 μB/cell
ΔH_f (0 K)   0.558 eV/atom


Entry 3:
A relaxed MnBeAl2Pd crystal, computed with PBE.

```
5
Lattice="4.269 0.000 0.000 0.000 4.254 0.000 0.000 0.000 4.269" Properties=species:S:1:pos:R:3 pbc="T T T"
Be 0.000 0.000 0.000
Al 2.134 0.000 0.000
Pd 0.000 2.127 0.000
Mn 2.134 2.127 2.134
Al 0.000 0.000 2.134
```

M_tot   4.1 μB/cell
ΔH_f (0 K)   0.237 eV/atom


Entry 4:
A relaxed NdTm2Ag3S6 crystal, computed with PBE.

```
12
Lattice="4.058 0.000 0.000 0.000 9.532 0.392 -2.029 -2.471 7.354" Properties=species:S:1:pos:R:3 pbc="T T T"
Nd 2.029 0.000 0.000
S 2.029 0.495 2.823
S 2.029 -0.492 7.294
Tm 0.000 2.389 2.592
Ag 0.000 8.106 2.907
Tm 2.029 4.671 5.154
S 2.029 4.152 2.523
S 0.000 6.565 4.923
Ag 2.029 -1.045 4.839
S 0.000 7.552 0.452
S 0.000 2.908 5.223
Ag 2.029 4.766 0.196
```

Formation energy (no corrections)   -1287.0 meV per atom
M_tot   0.0 μB/cell


Q: Which value of M_tot does entry 4 give?
A: 0.0 μB/cell


Copy entry 1 word for word.
A relaxed LaTiSeO crystal, computed with PBE.

```
12
Lattice="-0.856 0.319 -3.810 2.953 -2.300 1.159 -11.898 -14.541 1.455" Properties=species:S:1:pos:R:3 pbc="T T T"
La -3.545 -4.332 0.433
O -1.395 -5.189 -0.121
Ti -5.817 -7.109 0.711
O -10.596 -14.010 -0.808
La -7.097 -9.733 -1.235
Se -7.223 -12.312 0.591
Ti -0.168 -3.689 -0.271
Se -4.526 -6.592 -1.550
O -7.044 -8.609 0.861
Se -0.974 -1.191 0.119
La -9.793 -15.453 0.906
Ti -9.369 -12.510 -0.958
```

Energy above the most stable polymorph in this dataset   36 meV per atom
Formation energy (no corrections)   -1955.9 meV per atom
M_tot   3.0 μB/cell